Below is an optimized crystal structure of U2Si7Pd12, with properties calculated at the PBE level.

The value obtained for the energy relative to the elements, uncorrected is -0.64 eV per atom.

The space group is P-6 (No. 174) and the conventional cell measures 9.9630, 9.9630 and 3.8758 Å, with angles of 90.00, 90.00 and 120.00 degrees. The inequivalent atoms are U at (0.0000, 0.0000, 0.0000), U at (0.3333, 0.6667, 0.5000), Si at (0.0748, 0.4524, 0.0000), Si at (0.2588, 0.2125, 0.5000), Si at (0.6667, 0.3333, 0.5000), Pd at (0.0439, 0.2705, 0.5000), Pd at (0.1048, 0.7194, 0.0000), Pd at (0.4406, 0.2013, 0.0000) and Pd at (0.5099, 0.4498, 0.5000).